# 1
4
Lattice="4.900 0.000 0.000 2.450 4.244 0.000 2.450 1.415 4.001" Properties=species:S:1:pos:R:3 comment="SrLuRh2, optimized geometry, DFT PBE-GGA" formation_energy_mev_per_atom=-461.0 spacegroup="Fm-3m (225)" pbc="T T T"
Sr 4.900 2.829 2.000
Lu 0.000 0.000 0.000
Rh 2.450 1.415 1.000
Rh 7.350 4.244 3.001



# 2
14
Lattice="4.383 0.000 0.000 2.192 8.475 -0.679 2.192 1.655 8.340" Properties=species:S:1:pos:R:3 comment="Ba3Ga8Ir3, optimized geometry, DFT PBE-GGA" formation_energy_mev_per_atom=-387.7 spacegroup="Immm (71)" pbc="T T T"
Ba 4.383 5.065 3.831
Ba 4.383 2.028 1.534
Ba 4.383 8.102 6.128
Ga 4.383 1.856 5.732
Ga 4.383 8.274 1.929
Ga 4.383 6.021 0.225
Ga 4.383 4.109 7.436
Ga 6.575 7.960 3.509
Ga 2.192 2.170 4.153
Ga 6.575 5.543 6.704
Ga 2.192 4.586 0.957
Ir 2.192 0.000 0.000
Ir 2.192 7.117 1.117
Ir 2.192 3.012 6.545



# 3
10
Lattice="9.717 0.000 0.000 0.000 9.717 0.000 0.000 0.000 3.369" Properties=species:S:1:pos:R:3 comment="K2Ag2Pb, optimized geometry, DFT PBE-GGA" formation_energy_mev_per_atom=252.1 spacegroup="P4/mbm (127)" pbc="T T T"
Pb 0.000 0.000 0.000
Pb 4.859 4.859 0.000
K 3.491 8.350 0.000
K 8.350 6.226 0.000
K 6.226 1.368 0.000
K 1.368 3.491 0.000
Ag 1.556 6.414 1.685
Ag 6.414 8.162 1.685
Ag 8.162 3.303 1.685
Ag 3.303 1.556 1.685



# 4
4
Lattice="4.894 0.000 0.000 2.447 4.238 0.000 2.447 1.413 3.996" Properties=species:S:1:pos:R:3 comment="TbScCuAu, optimized geometry, DFT PBE-GGA" formation_energy_mev_per_atom=-510.0 spacegroup="F-43m (216)" pbc="T T T"
Sc 4.894 2.826 1.998
Tb 0.000 0.000 0.000
Au 7.341 4.238 2.997
Cu 2.447 1.413 0.999



# 5
4
Lattice="4.693 0.000 0.000 -1.392 4.482 0.000 0.000 0.000 2.850" Properties=species:S:1:pos:R:3 comment="TaRu2Rh, optimized geometry, DFT PBE-GGA" formation_energy_mev_per_atom=-154.1 spacegroup="Cmmm (65)" pbc="T T T"
Rh -0.696 2.241 1.425
Ru 0.000 0.000 0.000
Ru 1.650 2.241 0.000
Ta 2.346 0.000 1.425



# 6
8
Lattice="6.153 0.000 0.000 0.000 6.153 0.000 3.076 3.076 5.472" Properties=species:S:1:pos:R:3 comment="GaAu2Se, optimized geometry, DFT PBE-GGA" raw_formation_energy_ev_per_atom=0.0659 spacegroup="I-42d (122)" pbc="T T T"
Au 4.613 1.538 1.368
Au 1.539 4.615 1.368
Au 4.615 4.616 4.104
Au 7.691 7.690 4.104
Ga 3.076 3.076 0.000
Ga 3.076 6.153 2.736
Se 0.000 0.000 0.000
Se 6.153 3.076 2.736



Fermi-level density of states for the records above, in order: 1.42; 7.60; 4.83; 3.13; 5.67; 5.29 states/eV per cell